## Hf2TiAu (PBE-GGA)

Data for crystalline Hf2TiAu at its relaxed geometry.

Unit cell a=4.314 b=4.314 c=4.155 alpha=90.00 beta=90.00 gamma=90.00
Sites, in units of the cell vectors:
Hf  0.000  0.500  0.000
Hf  0.500  0.000  0.000
Ti  0.000  0.000  0.500
Au  0.500  0.500  0.500

Results
- E_tot (eV per cell) = -31.85
- space-group type = P4/mmm
- polymorph energy (0 for the lowest one) (meV/atom) = 81
- ΔH_f (0 K) (eV/atom) = -0.193